Here is crystalline BeV4 at its relaxed geometry from Alexandria. Energies are from PBE-GGA.

Unit cell a=5.605 b=5.605 c=5.605 alpha=103.96 beta=103.96 gamma=121.17
Fractional positions:
V  0.657  0.856  0.802
V  0.606  0.907  0.302
V  0.696  0.394  0.302
V  0.054  0.856  0.198
Be  0.250  0.750  0.500
V  0.144  0.946  0.802
V  0.606  0.304  0.698
Be  0.500  0.500  0.000
V  0.093  0.394  0.698
V  0.144  0.343  0.198

Results
* E above lowest polymorph: 0 kJ/mol of formula units
* ΔH_f (0 K): 327 meV per atom
* mass density: 5.38 g/cm3
* M_tot: 0.00 μB per cell
* volume: 13.13 Å³/atom
* N(E_F): 12.0 states/eV/cell

Here is crystalline BeV3 at its relaxed geometry from Alexandria. Energies are from PBE-GGA.

Unit cell a=3.660 b=3.660 c=3.660 alpha=90.00 beta=90.00 gamma=90.00
Last column: magnetic moment on the atom in μB.
Fractional positions:
V  0.500  0.000  0.500  0.25
V  0.000  0.500  0.500  0.25
V  0.500  0.500  0.000  0.25
Be  0.000  0.000  0.000  -0.01

Results
* E above lowest polymorph: 14 kJ/mol of formula units
* ΔH_f (0 K): 31 meV per atom
* mass density: 5.48 g/cm3
* M_tot: 0.84 μB per cell
* volume: 12.25 Å³/atom
* N(E_F): 5.8 states/eV/cell

Here is crystalline Be3V at its relaxed geometry from Alexandria. Energies are from PBE-GGA.

Unit cell a=3.360 b=3.360 c=3.360 alpha=90.00 beta=90.00 gamma=90.00
Fractional positions:
Be  0.000  0.500  0.500
Be  0.500  0.000  0.500
Be  0.500  0.500  0.000
V  0.000  0.000  0.000

Results
* ΔH_f (0 K): -120 meV per atom
* mass density: 3.41 g/cm3
* M_tot: 0.00 μB per cell
* volume: 9.48 Å³/atom
* N(E_F): 1.6 states/eV/cell

Here is crystalline BeV at its relaxed geometry from Alexandria. Energies are from PBE-GGA.

Unit cell a=2.282 b=6.997 c=5.463 alpha=90.00 beta=99.48 gamma=90.00
Fractional positions:
Be  0.086  0.500  0.318
Be  0.086  0.000  0.818
Be  0.914  0.500  0.682
V  0.500  0.299  0.000
V  0.500  0.799  0.500
V  0.500  0.701  0.000
V  0.500  0.201  0.500
Be  0.914  0.000  0.182

Results
* ΔH_f (0 K): -46 meV per atom
* mass density: 4.63 g/cm3
* M_tot: 0.00 μB per cell
* volume: 10.76 Å³/atom
* N(E_F): 6.1 states/eV/cell

Q: Which value of ΔH_f (0 K) does entry 1 give?
A: 327 meV per atom